(1)
## TaCd2Se (meta-GGA SCAN)

Data for TaCd2Se at its PBEsol-relaxed geometry.

Geometry as POSCAR:
```
TaCd2Se
1.0
3.2061 0.0000 0.0000
1.6031 2.7766 0.0000
1.6031 0.9255 9.0273
Cd Se Ta
2 1 1
Direct
0.9957 0.9957 0.0130
0.7498 0.7498 0.7507
0.5120 0.5120 0.4641
0.2426 0.2426 0.2722
```

## Properties
**Calculated volume**: 20.090 Å³ per atom
**DFT total energy**: -37.00 eV/atom



(2)
## TaCd3Se (meta-GGA SCAN)

Data for TaCd3Se at its PBEsol-relaxed geometry.

Geometry as POSCAR:
```
TaCd3Se
1.0
5.3138 0.0000 0.0000
0.0000 5.3138 0.0000
0.0000 0.0000 5.3138
Cd Se Ta
3 1 1
Direct
0.0000 0.5000 0.0000
0.0000 0.0000 0.5000
0.5000 0.0000 0.0000
0.5000 0.5000 0.5000
0.0000 0.0000 0.0000
```

## Properties
**Calculated volume**: 30.008 Å³ per atom
**DFT total energy**: -34.34 eV/atom